Entry from Alexandria: a geometry-optimized YInRu3 structure (PBE).

Cell: 4.899 4.899 4.899 Å, 90.00 90.00 90.00°
Space group Pm-3m (No. 221)
Unique sites:
Y 0.000 0.000 0.000
In 0.500 0.500 0.500
Ru 0.000 0.000 0.500

* formation energy from the elements: 1.71 eV/atom
* calculated total energy: -5.69 eV/atom
* DOS(E_F): 5.7 states/eV/cell


Entry from Alexandria: a geometry-optimized Rb2HgBr2F2 structure (PBE).

Cell: 4.928 4.928 16.454 Å, 90.00 90.00 90.00°
Space group I4/mmm (No. 139)
Unique sites:
Rb 0.000 0.000 0.114
Hg 0.000 0.000 0.500
Br 0.000 0.000 0.339
F 0.000 0.500 0.000

* calculated total energy: -3.05 eV/atom
* energy relative to the elements, uncorrected: -12.1 eV per formula unit
* DOS(E_F): 0.0 states/eV/cell


Entry from Alexandria: a geometry-optimized Ac4PN2O structure (PBE).

Cell: 6.046 6.046 12.292 Å, 90.00 90.00 90.00°
Space group I-42m (No. 121)
Unique sites:
Ac 0.224 0.224 0.141
P 0.000 0.000 0.500
N 0.000 0.500 0.250
O 0.000 0.000 0.000

* calculated total energy: -6.86 eV/atom
* energy relative to the elements, uncorrected: -11.4 eV per formula unit
* DOS(E_F): 6.4 states/eV/cell


Entry from Alexandria: a geometry-optimized AcCe3Sm2As6 structure (PBE).

Cell: 7.408 12.830 7.404 Å, 90.00 109.52 90.00°
Space group C2/m (No. 12)
Unique sites:
Ac 0.000 0.000 0.000
Ce 0.000 0.165 0.500
Ce 0.000 0.500 0.500
Sm 0.000 0.333 0.000
As 0.242 0.328 0.741
As 0.242 0.500 0.257

* formation energy from the elements: -1.45 eV/atom
* calculated total energy: -6.39 eV/atom
* DOS(E_F): 34.1 states/eV/cell


Entry from Alexandria: a geometry-optimized YNi2Rh structure (PBE).

Cell: 4.1904 4.1904 13.4977 Å, 90.00 90.00 120.00°
Space group R-3m (No. 166, hexagonal axes)
Unique sites:
Y 0.0000 0.0000 0.0000
Ni 0.0000 0.0000 0.1979
Rh 0.0000 0.0000 0.5000

* formation energy from the elements: -0.36 eV/atom
* calculated total energy: -6.70 eV/atom
* DOS(E_F): 7.8 states/eV/cell


Entry from Alexandria: a geometry-optimized NaAcTl2F6 structure (PBE).

Cell: 6.531 6.645 11.301 Å, 90.00 124.65 90.00°
Space group P2_1/c (No. 14)
Unique sites:
Na 0.000 0.000 0.000
Ac 0.500 0.000 0.500
Tl 0.236 0.037 0.748
F 0.152 0.202 0.454
F 0.243 0.705 0.447
F 0.344 0.031 0.248

* calculated total energy: -5.01 eV/atom
* energy relative to the elements, uncorrected: -28.7 eV per formula unit
* DOS(E_F): 0.0 states/eV/cell


Entry from Alexandria: a geometry-optimized Na2LaAu3 structure (PBE).

Cell: 5.1522 5.1522 12.5526 Å, 90.00 90.00 120.00°
Space group P-3m1 (No. 164)
Unique sites:
Na 0.0000 0.0000 0.0000
Na 0.0000 0.0000 0.5000
Na 0.3333 0.6667 0.1505
La 0.3333 0.6667 0.6679
Au 0.0000 0.0000 0.2505
Au 0.3333 0.6667 0.4082
Au 0.3333 0.6667 0.9086

* formation energy from the elements: -0.52 eV/atom
* calculated total energy: -3.42 eV/atom
* DOS(E_F): 7.7 states/eV/cell


Entry from Alexandria: a geometry-optimized TaIn2Pb structure (PBE).

Cell: 3.1861 3.1861 32.9885 Å, 90.00 90.00 120.00°
Space group R-3m (No. 166, hexagonal axes)
Unique sites:
Ta 0.0000 0.0000 0.0000
In 0.0000 0.0000 0.2602
Pb 0.0000 0.0000 0.5000

* formation energy from the elements: 0.29 eV/atom
* calculated total energy: -4.97 eV/atom
* DOS(E_F): 10.2 states/eV/cell


Entry from Alexandria: a geometry-optimized KPa2Ge2N6 structure (PBE).

Cell: 6.232 6.335 6.591 Å, 61.38 62.29 64.63°
Space group P-1 (No. 2)
Unique sites:
K 0.000 0.000 0.000
Pa 0.323 0.052 0.311
Ge 0.326 0.542 0.696
N 0.071 0.749 0.561
N 0.351 0.225 0.912
N 0.438 0.782 0.681

* calculated total energy: -7.83 eV/atom
* energy relative to the elements, uncorrected: -6.9 eV per formula unit
* DOS(E_F): 3.5 states/eV/cell


Entry from Alexandria: a geometry-optimized CaY4Re structure (PBE).

Cell: 8.836 8.836 8.836 Å, 90.00 90.00 90.00°
Space group F-43m (No. 216)
Unique sites:
Ca 0.000 0.000 0.000
Y 0.123 0.123 0.377
Re 0.250 0.250 0.750

* formation energy from the elements: 0.89 eV/atom
* calculated total energy: -5.82 eV/atom
* DOS(E_F): 42.7 states/eV/cell


Entry from Alexandria: a geometry-optimized TlPbSBr structure (PBE).

Cell: 4.2477 4.2477 8.1751 Å, 90.00 90.00 120.00°
Space group P3m1 (No. 156)
Unique sites:
Tl 0.0000 0.0000 0.0000
Pb 0.3333 0.6667 0.4424
S 0.6667 0.3333 0.2617
Br 0.6667 0.3333 0.7271

* calculated total energy: -3.59 eV/atom
* energy relative to the elements, uncorrected: -2.5 eV per formula unit